Density functional theory data (PBE) for a relaxed structure of HfZnI3.

Properties
E_form (uncorrected), eV/atom: 0.516
Crystal system: cubic
Space-group type: Pm-3m (221)
DOS at the Fermi energy, states/eV/f.u.: 5.7
ρ, g cm⁻³: 6.33
Offset from the most stable computed form, meV per atom: 752.7

Cell lengths 5.4727, 5.4727, 5.4727 Å; angles 90.00, 90.00, 90.00 degrees
Last column: nearest neighbours and their distance in Å.
Atoms (fractional coordinates):
Hf 0.0000 0.0000 0.0000  12 I 3.87
Zn 0.5000 0.5000 0.5000  6 I 2.74
I 0.0000 0.5000 0.5000  2 Zn 2.74
I 0.5000 0.0000 0.5000  2 Zn 2.74
I 0.5000 0.5000 0.0000  2 Zn 2.74

***

Density functional theory data (PBE) for a relaxed structure of LiTcNi.

Properties
Crystal system: hexagonal
Space-group type: P6_3/mmc (194)
DOS at the Fermi energy, states/eV/f.u.: 3.1
ρ, g cm⁻³: 7.49
Calculated formation energy, kJ/mol of formula units: 58
Offset from the most stable computed form, meV per atom: 137.5

Cell lengths 4.1391, 4.1391, 4.8895 Å; angles 90.00, 90.00, 120.00 degrees
Last column: nearest neighbours and their distance in Å.
Atoms (fractional coordinates):
Li 0.3333 0.6667 0.2500  5 Ni 2.39-2.44
Li 0.6667 0.3333 0.7500  5 Ni 2.39-2.44
Tc 0.0000 0.0000 0.0000  2 Tc 2.44, 6 Li 2.68, 6 Ni 2.68
Tc 0.0000 0.0000 0.5000  2 Tc 2.44, 6 Li 2.68, 6 Ni 2.68
Ni 0.3333 0.6667 0.7500  5 Li 2.39-2.44
Ni 0.6667 0.3333 0.2500  5 Li 2.39-2.44

***

Density functional theory data (PBE) for a relaxed structure of Sr3CoPb.

Properties
Crystal system: cubic
Space-group type: Pm-3m (221)
DOS at the Fermi energy, states/eV/f.u.: 9.3
ρ, g cm⁻³: 4.91
Calculated formation energy, kJ/mol of formula units: 42
Offset from the most stable computed form, meV per atom: 0.0

Cell lengths 5.6336, 5.6336, 5.6336 Å; angles 90.00, 90.00, 90.00 degrees
Last column: nearest neighbours and their distance in Å.
Atoms (fractional coordinates):
Sr 0.0000 0.0000 0.5000  2 Co 2.82
Sr 0.0000 0.5000 0.0000  2 Co 2.82
Sr 0.5000 0.0000 0.0000  2 Co 2.82
Co 0.0000 0.0000 0.0000  6 Sr 2.82
Pb 0.5000 0.5000 0.5000  12 Sr 3.98

***

Density functional theory data (PBE) for a relaxed structure of AcZn6Ag12.

Properties
Crystal system: trigonal
Space-group type: R-3m (166)
DOS at the Fermi energy, states/eV/f.u.: 8.7
ρ, g cm⁻³: 8.62
Calculated formation energy, kJ/mol of formula units: 26

Cell lengths 7.4482, 7.4482, 7.4482 Å; angles 103.98, 103.98, 103.98 degrees
Last column: nearest neighbours and their distance in Å.
Atoms (fractional coordinates):
Ac 0.0000 0.0000 0.0000  6 Ag 3.41
Zn 0.2681 0.2681 0.7016  7 Ag 2.58-2.78
Zn 0.2681 0.7016 0.2681  7 Ag 2.58-2.78
Zn 0.2984 0.7319 0.7319  7 Ag 2.58-2.78
Zn 0.7016 0.2681 0.2681  7 Ag 2.58-2.78
Zn 0.7319 0.2984 0.7319  7 Ag 2.58-2.78
Zn 0.7319 0.7319 0.2984  7 Ag 2.58-2.78
Ag 0.1164 0.5000 0.8836  4 Zn 2.58-2.70, 3 Ag 2.73-2.88
Ag 0.1164 0.8836 0.5000  4 Zn 2.58-2.70, 3 Ag 2.73-2.88
Ag 0.1444 0.4023 0.4023  4 Zn 2.71-3.03, 4 Ag 2.88-3.03
Ag 0.4023 0.1444 0.4023  4 Zn 2.71-3.03, 4 Ag 2.88-3.03
Ag 0.4023 0.4023 0.1444  4 Zn 2.71-3.03, 4 Ag 2.88-3.03
Ag 0.5000 0.1164 0.8836  4 Zn 2.58-2.70, 3 Ag 2.73-2.88
Ag 0.5000 0.8836 0.1164  4 Zn 2.58-2.70, 3 Ag 2.73-2.88
Ag 0.5977 0.5977 0.8556  4 Zn 2.71-3.03, 4 Ag 2.88-3.03
Ag 0.5977 0.8556 0.5977  4 Zn 2.71-3.03, 4 Ag 2.88-3.03
Ag 0.8556 0.5977 0.5977  4 Zn 2.71-3.03, 4 Ag 2.88-3.03
Ag 0.8836 0.1164 0.5000  4 Zn 2.58-2.70, 3 Ag 2.73-2.88
Ag 0.8836 0.5000 0.1164  4 Zn 2.58-2.70, 3 Ag 2.73-2.88

***

Density functional theory data (PBE) for a relaxed structure of La2Rh2Au.

Properties
Crystal system: tetragonal
Space-group type: I4/mmm (139)
DOS at the Fermi energy, states/eV/f.u.: 2.9
ρ, g cm⁻³: 9.18
Calculated formation energy, kJ/mol of formula units: -274
Offset from the most stable computed form, meV per atom: 197.9

Cell lengths 8.2216, 8.2216, 8.2216 Å; angles 151.89, 151.89, 40.18 degrees
Last column: nearest neighbours and their distance in Å.
Atoms (fractional coordinates):
La 0.1220 0.1220 0.0000  4 Rh 2.81
La 0.8780 0.8780 0.0000  4 Rh 2.81
Rh 0.2500 0.7500 0.5000  4 La 2.81, 4 Rh 2.82
Rh 0.7500 0.2500 0.5000  4 La 2.81, 4 Rh 2.82
Au 0.5000 0.5000 0.0000  8 La 3.40

***

Density functional theory data (PBE) for a relaxed structure of PmPr2Zr.

Properties
Crystal system: tetragonal
Space-group type: P4/mmm (123)
DOS at the Fermi energy, states/eV/f.u.: 6.3
ρ, g cm⁻³: 6.80
Calculated formation energy, kJ/mol of formula units: 70
Offset from the most stable computed form, meV per atom: 46.3

Cell lengths 4.1160, 4.1160, 7.4656 Å; angles 90.00, 90.00, 90.00 degrees
Last column: nearest neighbours and their distance in Å.
Atoms (fractional coordinates):
Pm 0.0000 0.0000 0.0000  8 Pr 3.57, 2 Zr 3.73
Pr 0.5000 0.5000 0.2781  1 Pr 3.31, 4 Zr 3.35, 4 Pm 3.57
Pr 0.5000 0.5000 0.7219  1 Pr 3.31, 4 Zr 3.35, 4 Pm 3.57
Zr 0.0000 0.0000 0.5000  8 Pr 3.35, 2 Pm 3.73

***

Density functional theory data (PBE) for a relaxed structure of HoTh6.

Properties
Crystal system: tetragonal
Space-group type: P4/nbm (125)
DOS at the Fermi energy, states/eV/f.u.: 11.5
ρ, g cm⁻³: 10.81
Calculated formation energy, kJ/mol of formula units: 275

Cell lengths 6.6322, 6.6322, 10.8776 Å; angles 90.00, 90.00, 90.00 degrees
Last column: nearest neighbours and their distance in Å.
Atoms (fractional coordinates):
Ho 0.2500 0.7500 0.0000  8 Th 3.68
Ho 0.7500 0.2500 0.0000  8 Th 3.68
Th 0.0717 0.5717 0.3571  8 Th 3.34-3.45
Th 0.0717 0.9283 0.6429  8 Th 3.34-3.45
Th 0.2500 0.2500 0.1459  5 Th 3.17-3.35
Th 0.2500 0.2500 0.8541  5 Th 3.17-3.35
Th 0.4283 0.5717 0.6429  8 Th 3.34-3.45
Th 0.4283 0.9283 0.3571  8 Th 3.34-3.45
Th 0.5717 0.0717 0.6429  8 Th 3.34-3.45
Th 0.5717 0.4283 0.3571  8 Th 3.34-3.45
Th 0.7500 0.7500 0.1459  5 Th 3.17-3.35
Th 0.7500 0.7500 0.8541  5 Th 3.17-3.35
Th 0.9283 0.0717 0.3571  8 Th 3.34-3.45
Th 0.9283 0.4283 0.6429  8 Th 3.34-3.45

***

Density functional theory data (PBE) for a relaxed structure of Tb5PrYTm2.

Properties
Crystal system: orthorhombic
Space-group type: Cmc2_1 (36)
DOS at the Fermi energy, states/eV/f.u.: 14.1
ρ, g cm⁻³: 7.60
Calculated formation energy, kJ/mol of formula units: 140

Cell lengths 10.3806, 10.3806, 10.6197 Å; angles 90.00, 90.00, 148.67 degrees
Last column: nearest neighbours and their distance in Å.
Atoms (fractional coordinates):
Tb 0.0167 0.9833 0.5000  2 Y 3.23, 3 Tm 3.37-3.57, 2 Tb 3.60
Tb 0.2809 0.7191 0.7808  1 Y 3.07, 1 Tm 3.34, 2 Tb 3.40
Tb 0.2999 0.7001 0.1813  3 Tb 3.40-3.57, 3 Pr 3.49-3.78, 2 Tm 3.50, 1 Y 3.52
Tb 0.3940 0.6060 0.4996  5 Tb 3.42-3.75, 4 Tm 3.56-3.60
Tb 0.4779 0.5221 0.2127  2 Y 3.15-3.29, 2 Tb 3.42-3.48, 2 Tm 3.46
Tb 0.5221 0.4779 0.7127  2 Y 3.15-3.29, 2 Tb 3.42-3.48, 2 Tm 3.46
Tb 0.6060 0.3940 0.9996  5 Tb 3.42-3.75, 4 Tm 3.56-3.60
Tb 0.7001 0.2999 0.6813  3 Tb 3.40-3.57, 3 Pr 3.49-3.78, 2 Tm 3.50, 1 Y 3.52
Tb 0.7191 0.2809 0.2808  1 Y 3.07, 1 Tm 3.34, 2 Tb 3.40
Tb 0.9833 0.0167 0.0000  2 Y 3.23, 3 Tm 3.37-3.57, 2 Tb 3.60
Pr 0.2017 0.7983 0.4858  2 Tm 3.45-3.70, 8 Tb 3.49-3.85, 2 Y 3.68
Pr 0.7983 0.2017 0.9858  2 Tm 3.45-3.70, 8 Tb 3.49-3.85, 2 Y 3.68
Y 0.4133 0.5867 0.9274  5 Tb 3.07-3.29
Y 0.5867 0.4133 0.4274  5 Tb 3.07-3.29
Tm 0.1091 0.8909 0.2119  6 Tb 3.37-3.64, 1 Pr 3.45, 2 Y 3.65
Tm 0.1138 0.8862 0.7929  9 Tb 3.34-3.67, 1 Pr 3.70
Tm 0.8862 0.1138 0.2929  9 Tb 3.34-3.67, 1 Pr 3.70
Tm 0.8909 0.1091 0.7119  6 Tb 3.37-3.64, 1 Pr 3.45, 2 Y 3.65

***

Density functional theory data (PBE) for a relaxed structure of SbPCl2O.

Properties
E_form (uncorrected), eV/atom: 0.643
Crystal system: tetragonal
Space-group type: P4/mmm (123)
DOS at the Fermi energy, states/eV/f.u.: 5.9
ρ, g cm⁻³: 2.66
Offset from the most stable computed form, meV per atom: 143.9

Cell lengths 5.2331, 5.2331, 5.4612 Å; angles 90.00, 90.00, 90.00 degrees
Last column: nearest neighbours and their distance in Å.
Atoms (fractional coordinates):
Sb 0.0000 0.0000 0.0000  4 Cl 2.62, 2 P 2.73
P 0.0000 0.0000 0.5000  2 Sb 2.73
Cl 0.0000 0.5000 0.0000  2 Sb 2.62
Cl 0.5000 0.0000 0.0000  2 Sb 2.62
O 0.5000 0.5000 0.5000  4 P 3.70, 8 Cl 3.78

***

Density functional theory data (PBE) for a relaxed structure of BaAlCd2.

Properties
Crystal system: monoclinic
Space-group type: C2/m (12)
DOS at the Fermi energy, states/eV/f.u.: 2.2
ρ, g cm⁻³: 5.45
Calculated formation energy, kJ/mol of formula units: 54

Cell lengths 6.4816, 6.4816, 3.4714 Å; angles 102.33, 102.33, 117.07 degrees
Last column: nearest neighbours and their distance in Å.
Atoms (fractional coordinates):
Ba 0.0000 0.0000 0.0000  4 Cd 3.33, 4 Al 3.38-3.73, 2 Ba 3.47
Al 0.5000 0.5000 0.0000  4 Cd 3.33, 4 Ba 3.38-3.73, 2 Al 3.47
Cd 0.0000 0.5000 0.5000  2 Ba 3.33, 2 Al 3.33, 6 Cd 3.38-3.73
Cd 0.5000 0.0000 0.5000  2 Ba 3.33, 2 Al 3.33, 6 Cd 3.38-3.73